# 1
A plane-wave DFT calculation with PBE was carried out for a relaxed structure of Ca2Ac2Ho.

Lattice parameters (Å, degrees): 4.9750 4.9750 9.5856 105.04 105.04 90.00
Closest atoms and distances in Å follow each position.
Fractional coordinates of all 5 atoms:
Ac1 0.2500 0.7500 0.5000  4 Ac 3.52, 4 Ca 3.76
Ac2 0.7500 0.2500 0.5000  4 Ac 3.52, 4 Ca 3.76
Ca1 0.5917 0.5917 0.1834  1 Ca 3.27
Ca2 0.4083 0.4083 0.8166  1 Ca 3.27
Ho1 0.0000 0.0000 0.0000  8 Ca 3.88

Computed properties:
The value obtained for the density is 5.26 Mg/m³. The calculation puts the size of the total moment at 0.00 μB/cell. The value obtained for the total energy is -14.202 eV for the cell shown. Its formation energy from the elements is 0.519 eV/atom.

=====

# 2
A plane-wave DFT calculation with PBE was carried out for a relaxed structure of CaAcHo.

Lattice parameters (Å, degrees): 3.7934 3.7933 16.3131 90.00 89.96 90.00
Closest atoms and distances in Å follow each position.
Fractional coordinates of all 6 atoms:
Ca1 0.8709 0.2912 0.1670  8 Ca 3.79-3.96, 4 Ac 3.98-3.99
Ca2 0.3740 0.7910 0.3453  8 Ca 3.79-3.96, 4 Ac 3.98-3.99
Ac1 0.3702 0.7914 0.9865  4 Ho 3.72-3.73, 4 Ac 3.79, 4 Ca 3.98-3.99
Ac2 0.8746 0.2909 0.5258  4 Ho 3.72-3.73, 4 Ac 3.79, 4 Ca 3.98-3.99
Ho1 0.3733 0.7910 0.6844  8 Ho 3.56-3.79, 4 Ac 3.72-3.73
Ho2 0.8715 0.2912 0.8280  8 Ho 3.56-3.79, 4 Ac 3.72-3.73

Computed properties:
The value obtained for the density is 6.11 Mg/m³. The calculation puts the size of the total moment at 0.00 μB/cell. The value obtained for the total energy is -21.083 eV for the cell shown. As for the energy above the most stable polymorph in this dataset: 0.000 eV per atom. Its formation energy from the elements is 0.049 eV/atom.

=====

# 3
A plane-wave DFT calculation with PBE was carried out for a relaxed structure of CaAc5Ho.

Lattice parameters (Å, degrees): 5.8413 5.8413 9.2668 90.00 90.00 90.00
Closest atoms and distances in Å follow each position.
Fractional coordinates of all 7 atoms:
Ac1 0.0000 0.5000 0.2871  2 Ho 3.52, 1 Ac 3.95
Ac2 0.5000 0.5000 0.0000  8 Ac 3.95, 4 Ca 4.13
Ac3 0.5000 0.0000 0.7129  2 Ho 3.52, 1 Ac 3.95
Ac4 0.0000 0.5000 0.7129  2 Ho 3.52, 1 Ac 3.95
Ac5 0.5000 0.0000 0.2871  2 Ho 3.52, 1 Ac 3.95
Ho1 0.0000 0.0000 0.5000  8 Ac 3.52
Ca1 0.0000 0.0000 0.0000  12 Ac 3.95-4.13

Computed properties:
The value obtained for the density is 7.04 Mg/m³. The calculation puts the size of the total moment at 0.00 μB/cell. The value obtained for the total energy is -25.543 eV for the cell shown. Its formation energy from the elements is 0.226 eV/atom.